[1]
9
Lattice="4.3040 0.0000 0.0000 -2.1520 5.1807 -0.1457 0.0000 -2.3018 7.9291" Properties=species:S:1:pos:R:3 comment="Dy3Ga4Ni2 (GGA-PBE, optimized geometry)" formation_enthalpy_0k_ev_per_fu=-5.55 spacegroup=C2/m volume_a3_per_cell=175 magmom_total_mub_per_atom=0.000 dos_ef_per_ev_cell=7.01 pbc="T T T"
Dy 2.1520 -0.2330 5.4018
Ni 2.1520 0.9376 2.6084
Dy 0.0000 3.1119 2.3816
Ga 2.1520 2.1235 0.5223
Ni 0.0000 1.9412 5.1749
Ga 0.0000 0.7554 7.2611
Dy 0.0000 0.0000 0.0000
Ga 0.0000 0.1048 3.2398
Ga 2.1520 2.7740 4.5435

[2]
4
Lattice="3.7157 0.0000 0.0000 0.0000 3.7952 -0.3683 0.0000 2.7248 8.3570" Properties=species:S:1:pos:R:3 comment="Ca2ZrSi (GGA-PBE, optimized geometry)" spacegroup=Amm2 formation_energy_uncorrected_mev_per_atom=-196 volume_a3_per_cell=122 magmom_total_mub_per_atom=0.000 dos_ef_per_ev_cell=3.63 pbc="T T T"
Ca 1.8578 2.3895 2.3910
Zr 1.8578 4.5605 5.0779
Ca 0.0000 2.9185 7.8830
Si 0.0000 2.6364 4.9881

[3]
3
Lattice="6.8712 0.0168 -0.0112 5.9259 2.8624 0.0084 0.9453 -1.0760 2.6343" Properties=species:S:1:pos:R:3 comment="CoWBr (GGA-PBE, optimized geometry)" spacegroup=Fmm2 relative_energy_kcal_per_mol_atoms=4.35 formation_energy_uncorrected_mev_per_atom=851 volume_a3_per_cell=52 magmom_total_mub_per_atom=0.443 dos_ef_per_ev_cell=3.47 pbc="T T T"
Co 4.6973 0.1761 1.7995
Br 0.9731 -1.0668 2.6282
W 9.0173 1.6178 0.8382

[4]
5
Lattice="-0.8370 3.6653 -2.9302 -0.6767 -3.0396 -3.6089 -4.5159 -0.2117 1.0251" Properties=species:S:1:pos:R:3 comment="CaAl2SiTc (GGA-PBE, optimized geometry)" spacegroup=P4/mmm formation_energy_uncorrected_mev_per_atom=-189 volume_a3_per_cell=105 magmom_total_mub_per_atom=0.000 dos_ef_per_ev_cell=1.76 pbc="T T T"
Tc 0.0000 0.0000 0.0000
Al -0.3383 -1.5198 -1.8044
Al -0.4185 1.8327 -1.4651
Si -2.2580 -0.1059 0.5125
Ca -3.0148 0.2070 -2.7570